Run a
Entry from the Alexandria database: a geometry-optimized NbWC structure (PBE).

a = 3.002 Å, b = 5.125 Å, c = 5.904 Å
α = 115.73°, β = 104.73°, γ = 90.00°
Element x y z (fractional)
C1 0.868 0.368 0.735
Nb1 0.500 0.253 0.000
Nb2 0.500 0.747 0.000
W1 0.226 0.226 0.451
W2 0.774 0.774 0.549
C2 0.132 0.632 0.265

## Properties
magnetic moment = 0.0 μB per cell



Run b
Entry from the Alexandria database: a geometry-optimized NbWC structure (PBE).

a = 6.138 Å, b = 6.297 Å, c = 8.518 Å
α = 90.00°, β = 90.00°, γ = 90.00°
Element x y z (fractional)
W1 0.720 0.500 0.000
C1 0.750 0.000 0.750
W2 0.280 0.500 0.000
C2 0.250 0.000 0.750
Nb1 0.000 0.250 0.250
Nb2 0.500 0.250 0.250
Nb3 0.500 0.750 0.250
C3 0.250 0.000 0.250
Nb4 0.000 0.750 0.750
Nb5 0.000 0.250 0.750
Nb6 0.500 0.250 0.750
W3 0.280 0.000 0.500
C4 0.750 0.500 0.250
C5 0.250 0.500 0.250
C6 0.750 0.000 0.250
W4 0.780 0.500 0.500
Nb7 0.500 0.750 0.750
Nb8 0.000 0.750 0.250
W5 0.220 0.000 0.000
W6 0.720 0.000 0.500
W7 0.220 0.500 0.500
C7 0.250 0.500 0.750
W8 0.780 0.000 0.000
C8 0.750 0.500 0.750

## Properties
magnetic moment = 0.0 μB per cell



Run c
Entry from the Alexandria database: a geometry-optimized NbWC structure (PBE).

a = 4.383 Å, b = 4.383 Å, c = 8.400 Å
α = 90.00°, β = 90.00°, γ = 90.00°
Element x y z (fractional)
Nb1 0.500 0.500 0.613
C1 0.500 0.000 0.119
W1 0.500 0.500 0.115
C2 0.500 0.500 0.869
Nb2 0.000 0.000 0.113
Nb3 0.000 0.500 0.363
C3 0.000 0.000 0.369
W2 0.000 0.000 0.615
W3 0.500 0.000 0.365
C4 0.000 0.500 0.619
Nb4 0.500 0.000 0.863
W4 0.000 0.500 0.865

## Properties
magnetic moment = 0.0 μB per cell



Which is most stable, and by how much? run c, by 10.2 kJ/mol of atoms.



Run a
Entry from the Alexandria database: a geometry-optimized NbWC2 structure (PBE).

a = 3.076 Å, b = 3.076 Å, c = 5.709 Å
α = 74.37°, β = 74.37°, γ = 60.00°
Element x y z (fractional)
Nb1 0.494 0.494 0.518
C1 0.256 0.256 0.233
C2 0.080 0.080 0.759
W1 0.670 0.670 0.990

## Properties
magnetic moment = 0.0 μB per cell



Run b
Entry from the Alexandria database: a geometry-optimized NbWC2 structure (PBE).

a = 4.776 Å, b = 4.776 Å, c = 5.862 Å
α = 65.96°, β = 65.96°, γ = 90.00°
Element x y z (fractional)
C1 0.641 0.125 0.250
Nb1 0.250 0.750 0.500
Nb2 0.500 0.500 0.000
W1 0.750 0.250 0.500
C2 0.109 0.625 0.250
C3 0.875 0.891 0.750
W2 0.000 0.000 0.000
C4 0.375 0.359 0.750

## Properties
magnetic moment = 0.0 μB per cell



Run c
Entry from the Alexandria database: a geometry-optimized NbWC2 structure (PBE).

a = 3.913 Å, b = 3.913 Å, c = 3.913 Å
α = 60.00°, β = 60.00°, γ = 60.00°
Element x y z (fractional)
Nb1 0.000 0.000 0.000
W1 0.500 0.500 0.500
C1 0.250 0.250 0.250
C2 0.750 0.750 0.750

## Properties
magnetic moment = 0.0 μB per cell



Which is most stable, and by how much? run a, by 39.6 kJ/mol of atoms.



Run a
Entry from the Alexandria database: a geometry-optimized NbW3C structure (PBE).

a = 4.762 Å, b = 4.762 Å, c = 4.762 Å
α = 90.00°, β = 90.00°, γ = 90.00°
Element x y z (fractional)
W1 0.000 0.500 0.000
C1 0.500 0.500 0.500
W2 0.000 0.000 0.500
Nb1 0.000 0.000 0.000
W3 0.500 0.000 0.000

## Properties
magnetic moment = 0.0 μB per cell



Run b
Entry from the Alexandria database: a geometry-optimized NbW3C structure (PBE).

a = 4.204 Å, b = 4.204 Å, c = 4.204 Å
α = 90.00°, β = 90.00°, γ = 90.00°
Element x y z (fractional)
W1 0.000 0.500 0.000
W2 0.500 0.000 0.000
W3 0.000 0.000 0.500
Nb1 0.500 0.500 0.500
C1 0.000 0.000 0.000

## Properties
magnetic moment = 0.0 μB per cell



Which is most stable, and by how much? run b, by 332.9 kJ/mol of atoms.



Run a
Entry from the Alexandria database: a geometry-optimized YNbC2 structure (PBE).

a = 3.320 Å, b = 3.320 Å, c = 5.922 Å
α = 73.72°, β = 73.72°, γ = 60.00°
Element x y z (fractional)
C1 0.260 0.260 0.219
Nb1 0.000 0.000 0.000
Y1 0.500 0.500 0.500
C2 0.740 0.740 0.781

## Properties
magnetic moment = 0.0 μB per cell



Run b
Entry from the Alexandria database: a geometry-optimized YNbC2 structure (PBE).

a = 5.755 Å, b = 5.755 Å, c = 5.591 Å
α = 59.03°, β = 59.03°, γ = 90.00°
Element x y z (fractional)
Nb1 0.750 0.250 0.500
Y1 0.250 0.750 0.500
Y2 0.500 0.500 0.000
C1 0.875 0.925 0.750
Nb2 0.000 0.000 0.000
C2 0.075 0.625 0.250
C3 0.375 0.325 0.750
C4 0.675 0.125 0.250

## Properties
magnetic moment = 0.0 μB per cell



Run c
Entry from the Alexandria database: a geometry-optimized YNbC2 structure (PBE).

a = 3.512 Å, b = 5.757 Å, c = 11.138 Å
α = 90.00°, β = 90.00°, γ = 90.00°
Element x y z (fractional)
C1 0.250 0.351 0.252
Y1 0.250 0.915 0.860
Y2 0.250 0.415 0.640
C2 0.750 0.225 0.484
C3 0.750 0.149 0.752
Y3 0.750 0.085 0.140
Nb1 0.250 0.094 0.394
C4 0.750 0.725 0.016
Y4 0.750 0.585 0.360
Nb2 0.750 0.906 0.606
Nb3 0.750 0.406 0.894
C5 0.250 0.775 0.516
C6 0.250 0.275 0.984
Nb4 0.250 0.594 0.106
C7 0.750 0.649 0.748
C8 0.250 0.851 0.248

## Properties
magnetic moment = 0.0 μB per cell



Run d
Entry from the Alexandria database: a geometry-optimized YNbC2 structure (PBE).

a = 3.287 Å, b = 3.287 Å, c = 6.141 Å
α = 74.48°, β = 74.48°, γ = 60.00°
Element x y z (fractional)
C1 0.262 0.262 0.214
Y1 0.496 0.496 0.513
Nb1 0.670 0.670 0.990
C2 0.072 0.072 0.783

## Properties
magnetic moment = 0.0 μB per cell



Which is most stable, and by how much? run a, by 2.7 kJ/mol of atoms.